--- one ---
VASP calculation (PBE) on a relaxed structure of LaCoSeN2.

a b c (Å): 4.084 4.084 6.481
angles (deg): 90.00 90.00 90.00
Space group P4/mmm (No. 123)
Symmetry-distinct sites (fractional):
1 La 0.000 0.000 0.000 [1 per cell]
2 Co 0.500 0.500 0.500 [1 per cell]
3 Se 0.000 0.000 0.500 [1 per cell]
4 N 0.000 0.500 0.000 [2 per cell]



--- two ---
VASP calculation (PBE) on a relaxed structure of LaCoSeN2.

a b c (Å): 4.025 4.025 4.724
angles (deg): 90.00 90.00 90.00
Space group P4/mmm (No. 123)
Symmetry-distinct sites (fractional):
1 La 0.000 0.000 0.000 [1 per cell]
2 Co 0.500 0.500 0.500 [1 per cell]
3 Se 0.500 0.500 0.000 [1 per cell]
4 N 0.000 0.500 0.500 [2 per cell]



two is favored, and the nearest alternative lies 1.092 eV/atom above it.



--- one ---
VASP calculation (PBE) on a relaxed structure of LaCo2SiN.

a b c (Å): 3.770 10.919 6.835
angles (deg): 90.00 90.00 90.00
Space group Cmcm (No. 63)
Symmetry-distinct sites (fractional):
1 La 0.000 0.049 0.250 [4 per cell]
2 Co 0.000 0.335 0.056 [8 per cell]
3 Si 0.000 0.226 0.750 [4 per cell]
4 N 0.000 0.500 0.000 [4 per cell]



--- two ---
VASP calculation (PBE) on a relaxed structure of LaCo2SiN.

a b c (Å): 4.451 4.451 3.873
angles (deg): 90.00 90.00 90.00
Space group P4/mmm (No. 123)
Symmetry-distinct sites (fractional):
1 La 0.000 0.000 0.000 [1 per cell]
2 Co 0.000 0.500 0.500 [2 per cell]
3 Si 0.500 0.500 0.500 [1 per cell]
4 N 0.500 0.500 0.000 [1 per cell]



one is favored, and the nearest alternative lies 0.999 eV/atom above it.